Entry 1:
This record from Alexandria via LeMat-Bulk describes a relaxed Hf2Zn4Bi crystal. The functional is GGA-PBE.

Structure (extended XYZ):
```
14
Lattice="5.219 0.000 0.000 0.000 5.219 0.000 0.000 0.000 13.894" Properties=species:S:1:pos:R:3 pbc="T T T"
Hf 0.000 0.000 1.351
Hf 0.000 0.000 12.543
Hf 2.610 2.610 5.596
Hf 2.610 2.610 8.297
Zn 0.000 0.000 4.104
Zn 0.000 0.000 9.789
Zn 0.000 2.610 0.000
Zn 0.000 2.610 6.947
Zn 2.610 0.000 0.000
Zn 2.610 0.000 6.947
Zn 2.610 2.610 2.843
Zn 2.610 2.610 11.051
Bi 0.000 0.000 6.947
Bi 2.610 2.610 0.000
```

The crystal system is tetragonal. The calculation puts the density of states at the Fermi level at 12.7 states/eV/cell. The calculation puts the total energy at -23.655 eV/f.u. As for the space group: No. 139.


Entry 2:
This record from Alexandria via LeMat-Bulk describes a relaxed Hf7Zn2Bi2 crystal. The functional is GGA-PBE.

Structure (extended XYZ):
```
11
Lattice="5.334 -4.329 0.000 5.334 4.329 0.000 -0.228 0.000 5.328" Properties=species:S:1:pos:R:3 pbc="T T T"
Hf 0.000 0.000 0.000
Hf 2.790 1.417 1.247
Hf 2.790 -1.417 1.247
Hf 4.541 0.000 4.012
Hf 5.900 0.000 1.316
Hf 7.650 1.417 4.081
Hf 7.650 -1.417 4.081
Zn 1.993 0.000 3.778
Zn 8.447 0.000 1.550
Bi 5.220 2.613 2.664
Bi 5.220 -2.613 2.664
```

The crystal system is monoclinic. The calculation puts the density of states at the Fermi level at 9.3 states/eV/cell. The calculation puts the total energy at -78.257 eV/f.u. As for the space group: No. 12.


Entry 3:
This record from Alexandria via LeMat-Bulk describes a relaxed Hf2Zn2Bi crystal. The functional is GGA-PBE.

Structure (extended XYZ):
```
10
Lattice="7.084 0.000 0.000 0.000 7.084 0.000 0.000 0.000 3.976" Properties=species:S:1:pos:R:3 pbc="T T T"
Hf 1.205 2.337 0.000
Hf 2.337 5.879 0.000
Hf 4.747 1.205 0.000
Hf 5.879 4.747 0.000
Zn 0.857 4.399 1.988
Zn 2.685 0.857 1.988
Zn 4.399 6.227 1.988
Zn 6.227 2.685 1.988
Bi 0.000 0.000 1.988
Bi 3.542 3.542 1.988
```

For the distance to the lowest polymorph of the same formula, the calculation gives 0.00 eV/f.u. The crystal system is tetragonal. The calculation puts the density of states at the Fermi level at 5.9 states/eV/cell. As for the space group: No. 127.


Entry 4:
This record from Alexandria via LeMat-Bulk describes a relaxed Hf2Zn2Bi crystal. The functional is GGA-PBE.

Structure (extended XYZ):
```
10
Lattice="7.987 0.000 0.000 0.000 7.987 0.000 0.000 0.000 3.334" Properties=species:S:1:pos:R:3 pbc="T T T"
Hf 1.065 2.928 0.000
Hf 2.928 6.922 0.000
Hf 5.059 1.065 0.000
Hf 6.922 5.059 0.000
Zn 1.332 5.325 1.667
Zn 2.662 1.332 1.667
Zn 5.325 6.655 1.667
Zn 6.655 2.662 1.667
Bi 0.000 0.000 0.000
Bi 3.993 3.993 0.000
```

For the distance to the lowest polymorph of the same formula, the calculation gives 0.56 eV/f.u. The crystal system is tetragonal. The calculation puts the density of states at the Fermi level at 9.3 states/eV/cell. As for the space group: No. 127.


Entry 5:
This record from Alexandria via LeMat-Bulk describes a relaxed HfZnBi2 crystal. The functional is GGA-PBE.

Structure (extended XYZ):
```
4
Lattice="3.895 0.000 0.000 0.000 3.895 0.000 0.000 0.000 6.438" Properties=species:S:1:pos:R:3 pbc="T T T"
Hf 0.000 0.000 0.000
Zn 0.000 0.000 3.219
Bi 1.947 1.947 1.575
Bi 1.947 1.947 4.863
```

The crystal system is tetragonal. The calculation puts the density of states at the Fermi level at 2.8 states/eV/cell. The calculation puts the total energy at -18.958 eV/f.u. As for the space group: No. 123.


Entry 6:
This record from Alexandria via LeMat-Bulk describes a relaxed HfZnBi3 crystal. The functional is GGA-PBE.

Structure (extended XYZ):
```
5
Lattice="5.643 0.000 0.000 0.000 5.643 0.000 0.000 0.000 5.643" Properties=species:S:1:pos:R:3 pbc="T T T"
Hf 0.000 0.000 0.000
Zn 2.821 2.821 2.821
Bi 0.000 0.000 2.821
Bi 0.000 2.821 0.000
Bi 2.821 0.000 0.000
```

For the distance to the lowest polymorph of the same formula, the calculation gives 0.00 eV/f.u. The crystal system is cubic. The calculation puts the density of states at the Fermi level at 3.7 states/eV/cell. As for the space group: No. 221.